No. 1
Computed, not measured: a crystal of Al2HgAu relaxed with PBEsol at the SCAN level of DFT.

Results
- ΔE_f: -0.25 eV per atom
- V: 74.08 Å³/cell
- Magnetic moment: 0.0 μB/cell

abc: 3.1171 2.9412 8.0805
angles: 90.00 90.21 90.00
Space group P2/m (No. 10)
Unique sites:
Al  0.0026  0.0000  0.2096
Hg  0.0000  0.5000  0.5000
Au  0.5000  0.5000  0.0000

***

No. 2
Computed, not measured: a crystal of AlHgAu2 relaxed with PBEsol at the SCAN level of DFT.

Results
- ΔE_f: -0.27 eV per atom
- V: 216.67 Å³/cell
- Magnetic moment: 0.0 μB/cell

abc: 3.1433 3.1433 25.3212
angles: 90.00 90.00 120.00
Space group R-3m (No. 166, hexagonal axes)
Unique sites:
Al  0.0000  0.0000  0.0000
Hg  0.0000  0.0000  0.5000
Au  0.0000  0.0000  0.2600

***

No. 3
Computed, not measured: a crystal of Al2HgAu relaxed with PBEsol at the SCAN level of DFT.

Results
- ΔE_f: 0.14 eV per atom
- V: 295.46 Å³/cell
- Magnetic moment: 0.0 μB/cell

abc: 6.6604 6.6604 6.6604
angles: 90.00 90.00 90.00
Space group F-43m (No. 216)
Unique sites:
Al  0.0000  0.0000  0.0000
Al  0.2500  0.2500  0.2500
Hg  0.0000  0.0000  0.5000
Au  0.2500  0.2500  0.7500

***

No. 4
Computed, not measured: a crystal of AlHgAu relaxed with PBEsol at the SCAN level of DFT.

Results
- ΔE_f: -0.12 eV per atom
- V: 58.57 Å³/cell
- Magnetic moment: 0.0 μB/cell

abc: 4.2583 4.2583 3.7296
angles: 90.00 90.00 120.00
Space group P3m1 (No. 156)
Unique sites:
Al  0.0000  0.0000  0.0000
Hg  0.6667  0.3333  0.5923
Au  0.3333  0.6667  0.1714

***

No. 5
Computed, not measured: a crystal of AlHg2Au relaxed with PBEsol at the SCAN level of DFT.

Results
- ΔE_f: 0.05 eV per atom
- V: 232.85 Å³/cell
- Magnetic moment: 0.0 μB/cell

abc: 3.2605 3.2605 25.2914
angles: 90.00 90.00 120.00
Space group R-3m (No. 166, hexagonal axes)
Unique sites:
Al  0.0000  0.0000  0.0000
Hg  0.0000  0.0000  0.2516
Au  0.0000  0.0000  0.5000

***

No. 6
Computed, not measured: a crystal of AlHg2Au relaxed with PBEsol at the SCAN level of DFT.

Results
- ΔE_f: 0.11 eV per atom
- V: 152.90 Å³/cell
- Magnetic moment: 0.0 μB/cell

abc: 4.2084 4.2084 8.6334
angles: 90.00 90.00 90.00
Space group I4/mmm (No. 139)
Unique sites:
Al  0.0000  0.0000  0.0000
Hg  0.0000  0.5000  0.2500
Au  0.0000  0.0000  0.5000

***

No. 7
Computed, not measured: a crystal of AlHg2Au relaxed with PBEsol at the SCAN level of DFT.

Results
- ΔE_f: 0.08 eV per atom
- V: 155.53 Å³/cell
- Magnetic moment: 0.0 μB/cell

abc: 3.2306 5.2986 9.0858
angles: 90.00 90.00 90.00
Space group Immm (No. 71)
Unique sites:
Al  0.0000  0.0000  0.0000
Hg  0.0000  0.5000  0.2575
Au  0.0000  0.0000  0.5000

***

No. 8
Computed, not measured: a crystal of AlHg2Au relaxed with PBEsol at the SCAN level of DFT.

Results
- ΔE_f: -0.07 eV per atom
- V: 78.75 Å³/cell
- Magnetic moment: 0.0 μB/cell

abc: 2.8128 3.5137 7.9684
angles: 90.00 90.00 90.00
Space group Pmm2 (No. 25)
Unique sites:
Al  0.0000  0.0000  0.0000
Hg  0.0000  0.0000  0.4487
Hg  0.5000  0.5000  0.7402
Au  0.5000  0.5000  0.1797